Entry 1:
! Pm2PrPd2 | Alexandria via LeMat-Bulk | GGA-PBE | relaxed; values from VASP
&SYSTEM
  ibrav = 0, nat = 10, ntyp = 3
/
ATOMIC_SPECIES
Pm 145.00 Pm.upf
Pr 140.91 Pr.upf
Pd 106.42 Pd.upf
ATOMIC_POSITIONS angstrom
Pm 1.349 2.702 0.000
Pm 2.702 6.754 0.000
Pm 5.401 1.349 0.000
Pm 6.754 5.401 0.000
Pr 0.000 0.000 1.985
Pr 4.052 4.052 1.985
Pd 1.021 5.073 1.985
Pd 3.031 1.021 1.985
Pd 5.073 7.083 1.985
Pd 7.083 3.031 1.985
CELL_PARAMETERS angstrom
8.103 0.000 0.000
0.000 8.103 0.000
0.000 0.000 3.970
! DFT formation energy, eV/f.u.: -3.17
! Crystal system: tetragonal
! Space-group type: P4/mbm (127)
! Electronic total energy, eV/cell: -55.7
! Fermi-level density of states, states/eV per cell: 7.96
! Excess energy over the best structure of this formula in the dataset, meV/atom: 0

---

Entry 2:
! PmPrPd2 | Alexandria via LeMat-Bulk | GGA-PBE | relaxed; values from VASP
&SYSTEM
  ibrav = 0, nat = 4, ntyp = 3
/
ATOMIC_SPECIES
Pm 145.00 Pm.upf
Pr 140.91 Pr.upf
Pd 106.42 Pd.upf
ATOMIC_POSITIONS angstrom
Pm 0.000 0.000 0.000
Pr 0.000 0.000 17.836
Pd 0.000 0.000 8.904
Pd 0.000 0.000 12.516
CELL_PARAMETERS angstrom
2.071 1.195 7.184
-2.071 1.195 7.184
0.000 -2.391 7.184
! DFT formation energy, eV/f.u.: -2.52
! Crystal system: trigonal
! Space-group type: R3m (160)
! Electronic total energy, eV/cell: -22.4
! Fermi-level density of states, states/eV per cell: 2.85
! Excess energy over the best structure of this formula in the dataset, meV/atom: 178

---

Entry 3:
! Pm2PrPd2 | Alexandria via LeMat-Bulk | GGA-PBE | relaxed; values from VASP
&SYSTEM
  ibrav = 0, nat = 10, ntyp = 3
/
ATOMIC_SPECIES
Pm 145.00 Pm.upf
Pr 140.91 Pr.upf
Pd 106.42 Pd.upf
ATOMIC_POSITIONS angstrom
Pm 0.772 1.220 1.190
Pm 0.760 3.661 5.418
Pm 3.434 1.220 5.305
Pm 3.422 3.661 9.533
Pr 0.742 1.220 8.279
Pr 3.452 3.661 2.444
Pd 0.741 1.220 4.007
Pd 0.695 3.661 10.490
Pd 3.498 1.220 0.233
Pd 3.453 3.661 6.717
CELL_PARAMETERS angstrom
5.395 0.000 0.000
0.000 4.881 0.000
-1.201 0.000 10.723
! DFT formation energy, eV/f.u.: -2.81
! Crystal system: monoclinic
! Space-group type: P2_1/m (11)
! Electronic total energy, eV/cell: -54.9
! Fermi-level density of states, states/eV per cell: 9.64
! Excess energy over the best structure of this formula in the dataset, meV/atom: 72

---

Entry 4:
! PmPrPd3 | Alexandria via LeMat-Bulk | GGA-PBE | relaxed; values from VASP
&SYSTEM
  ibrav = 0, nat = 20, ntyp = 3
/
ATOMIC_SPECIES
Pm 145.00 Pm.upf
Pr 140.91 Pr.upf
Pd 106.42 Pd.upf
ATOMIC_POSITIONS angstrom
Pm 1.517 1.089 0.000
Pm 1.992 5.089 4.026
Pm 5.027 2.912 4.026
Pm 5.501 6.912 0.000
Pr 1.528 1.095 4.026
Pr 1.981 5.095 0.000
Pr 5.038 2.905 0.000
Pr 5.490 6.905 4.026
Pd 0.000 4.000 2.066
Pd 0.000 4.000 5.985
Pd 0.816 6.854 2.012
Pd 0.816 6.854 6.040
Pd 2.693 2.854 2.014
Pd 2.693 2.854 6.037
Pd 3.509 0.000 1.959
Pd 3.509 0.000 6.092
Pd 4.325 5.147 2.014
Pd 4.325 5.147 6.037
Pd 6.202 1.147 2.012
Pd 6.202 1.147 6.040
CELL_PARAMETERS angstrom
7.018 0.000 0.000
0.000 8.000 0.000
0.000 0.000 8.051
! DFT formation energy, eV/f.u.: -3.85
! Crystal system: orthorhombic
! Space-group type: Pnnm (58)
! Electronic total energy, eV/cell: -115.8
! Fermi-level density of states, states/eV per cell: 12.46
! Excess energy over the best structure of this formula in the dataset, meV/atom: 0

---

Entry 5:
! PmPrPd2 | Alexandria via LeMat-Bulk | GGA-PBE | relaxed; values from VASP
&SYSTEM
  ibrav = 0, nat = 4, ntyp = 3
/
ATOMIC_SPECIES
Pm 145.00 Pm.upf
Pr 140.91 Pr.upf
Pd 106.42 Pd.upf
ATOMIC_POSITIONS angstrom
Pm 0.000 0.000 0.000
Pr 3.629 3.629 3.629
Pd 1.814 1.814 1.814
Pd 5.443 5.443 5.443
CELL_PARAMETERS angstrom
0.000 3.629 3.629
3.629 0.000 3.629
3.629 3.629 0.000
! DFT formation energy, eV/f.u.: -2.93
! Crystal system: cubic
! Space-group type: Fm-3m (225)
! Electronic total energy, eV/cell: -22.8
! Fermi-level density of states, states/eV per cell: 4.11
! Excess energy over the best structure of this formula in the dataset, meV/atom: 75

---

Entry 6:
! Pm3PrPd | Alexandria via LeMat-Bulk | GGA-PBE | relaxed; values from VASP
&SYSTEM
  ibrav = 0, nat = 5, ntyp = 3
/
ATOMIC_SPECIES
Pm 145.00 Pm.upf
Pr 140.91 Pr.upf
Pd 106.42 Pd.upf
ATOMIC_POSITIONS angstrom
Pm 0.000 0.000 2.816
Pm 0.000 2.816 0.000
Pm 2.816 0.000 0.000
Pr 2.816 2.816 2.816
Pd 0.000 0.000 0.000
CELL_PARAMETERS angstrom
5.631 0.000 0.000
0.000 5.631 0.000
0.000 0.000 5.631
! DFT formation energy, eV/f.u.: -0.50
! Crystal system: cubic
! Space-group type: Pm-3m (221)
! Electronic total energy, eV/cell: -24.7
! Fermi-level density of states, states/eV per cell: 11.30
! Excess energy over the best structure of this formula in the dataset, meV/atom: 207